A plane-wave DFT calculation with PBE-GGA was carried out for a relaxed structure of La8SiRh2.

abc: 7.9219 7.9219 6.6777
angles: 102.18 102.18 116.14
Sites, in units of the cell vectors:
La (0.0000, 0.0000, 0.0000)
La (0.1439, 0.5410, 0.1843)
La (0.2514, 0.9833, 0.5655)
La (0.4388, 0.7079, 0.8024)
La (0.5410, 0.1439, 0.1843)
La (0.6992, 0.6992, 0.3854)
La (0.7079, 0.4388, 0.8024)
La (0.9833, 0.2514, 0.5655)
Si (0.3484, 0.3484, 0.4131)
Rh (0.0341, 0.6543, 0.6915)
Rh (0.6543, 0.0341, 0.6915)

Magnetic moment ... 0.00 μB per cell
Space group ... Cm


A plane-wave DFT calculation with PBE-GGA was carried out for a relaxed structure of La2SiRh.

abc: 4.2409 4.4389 10.6420
angles: 90.00 90.00 90.00
Sites, in units of the cell vectors:
La (0.0000, 0.0000, 0.0000)
La (0.0000, 0.5000, 0.5000)
La (0.5000, 0.0000, 0.2846)
La (0.5000, 0.5000, 0.7846)
Si (0.5000, 0.0000, 0.5827)
Si (0.5000, 0.5000, 0.0827)
Rh (0.0000, 0.0000, 0.7149)
Rh (0.0000, 0.5000, 0.2149)

Magnetic moment ... 0.00 μB per cell
Space group ... Amm2


A plane-wave DFT calculation with PBE-GGA was carried out for a relaxed structure of La2Si3Rh2.

abc: 11.0820 4.0429 7.1480
angles: 90.00 120.93 90.00
Sites, in units of the cell vectors:
La (0.1358, 0.0000, 0.2601)
La (0.3642, 0.5000, 0.7399)
La (0.6358, 0.5000, 0.2601)
La (0.8642, 0.0000, 0.7399)
Si (0.0000, 0.5000, 0.5000)
Si (0.1480, 0.5000, 0.9312)
Si (0.3520, 0.0000, 0.0688)
Si (0.5000, 0.0000, 0.5000)
Si (0.6480, 0.0000, 0.9312)
Si (0.8520, 0.5000, 0.0688)
Rh (0.1321, 0.0000, 0.7173)
Rh (0.3679, 0.5000, 0.2827)
Rh (0.6321, 0.5000, 0.7173)
Rh (0.8679, 0.0000, 0.2827)

Magnetic moment ... 0.00 μB per cell
Space group ... C2/m


Number 1: E_form (uncorrected) -363 meV/atom, calculated density 6.47 g cm⁻³, raw total energy -63.5 eV/cell. Number 2: E_form (uncorrected) -763 meV/atom, calculated density 6.78 g cm⁻³, raw total energy -51.4 eV/cell. Number 3: E_form (uncorrected) -811 meV/atom, calculated density 6.87 g cm⁻³, raw total energy -93.0 eV/cell.